No. 1
# KLi2NpO4

A relaxed KLi2NpO4 crystal (PBE-GGA, Alexandria via LeMat-Bulk).

Calculated values
crystal system: tetragonal
uncorrected formation energy: -2.123 eV/atom
electronic total energy: -54.680 eV per cell

```
KLi2NpO4
1.0
-2.8156 2.8156 3.6046
2.8156 -2.8156 3.6046
2.8156 2.8156 -3.6046
K Li Np O
1 2 1 4
Direct
0.0000 0.0000 0.0000
0.2500 0.7500 0.5000
0.7500 0.2500 0.5000
0.5000 0.5000 0.0000
0.1254 0.5371 0.0000
0.4629 0.4629 0.5884
0.5371 0.1254 0.0000
0.8746 0.8746 0.4116
```


No. 2
# KLi4Np3O12

A relaxed KLi4Np3O12 crystal (PBE-GGA, Alexandria via LeMat-Bulk).

Calculated values
crystal system: trigonal
uncorrected formation energy: -2.445 eV/atom
electronic total energy: -155.968 eV per cell

```
KLi4Np3O12
1.0
5.7184 3.3015 2.6933
-5.7184 3.3015 2.6933
0.0000 -6.6030 2.6933
K Li Np O
1 4 3 12
Direct
0.0000 0.0000 0.0000
0.0631 0.5000 0.9369
0.5000 0.5000 0.5000
0.5000 0.9369 0.0631
0.9369 0.0631 0.5000
0.0000 0.5591 0.4409
0.4409 0.0000 0.5591
0.5591 0.4409 0.0000
0.0450 0.6321 0.7377
0.1081 0.8919 0.5000
0.2623 0.3679 0.9550
0.3334 0.6666 0.5000
0.3679 0.9550 0.2623
0.5000 0.1081 0.8919
0.5000 0.3334 0.6666
0.6321 0.7377 0.0450
0.6666 0.5000 0.3334
0.7377 0.0450 0.6321
0.8919 0.5000 0.1081
0.9550 0.2623 0.3679
```


No. 3
# K2LiNpO6

A relaxed K2LiNpO6 crystal (PBE-GGA, Alexandria via LeMat-Bulk).

Calculated values
crystal system: cubic
uncorrected formation energy: -1.914 eV/atom
electronic total energy: -65.941 eV per cell

```
K2LiNpO6
1.0
0.0000 4.1743 4.1743
4.1743 0.0000 4.1743
4.1743 4.1743 0.0000
K Li Np O
2 1 1 6
Direct
0.2500 0.2500 0.2500
0.7500 0.7500 0.7500
0.0000 0.0000 0.0000
0.5000 0.5000 0.5000
0.2634 0.2634 0.7366
0.2634 0.7366 0.2634
0.2634 0.7366 0.7366
0.7366 0.2634 0.2634
0.7366 0.2634 0.7366
0.7366 0.7366 0.2634
```


No. 4
# KLiNpO5

A relaxed KLiNpO5 crystal (PBE-GGA, Alexandria via LeMat-Bulk).

Calculated values
crystal system: monoclinic
uncorrected formation energy: -2.133 eV/atom
electronic total energy: -115.616 eV per cell

```
KLiNpO5
1.0
3.7194 -4.8708 0.0000
3.7194 4.8708 0.0000
-3.6520 0.0000 7.3775
K Li Np O
2 2 2 10
Direct
0.0798 0.9202 0.7500
0.9202 0.0798 0.2500
0.4459 0.5541 0.7500
0.5541 0.4459 0.2500
0.0000 0.5000 0.0000
0.5000 0.0000 0.5000
0.1933 0.8067 0.2500
0.1954 0.3289 0.0931
0.2341 0.6166 0.8994
0.3289 0.1954 0.5931
0.3834 0.7659 0.6006
0.6166 0.2341 0.3994
0.6711 0.8046 0.4069
0.7659 0.3834 0.1006
0.8046 0.6711 0.9069
0.8067 0.1933 0.7500
```


No. 5
# K2LiNp3O12

A relaxed K2LiNp3O12 crystal (PBE-GGA, Alexandria via LeMat-Bulk).

Calculated values
crystal system: trigonal
uncorrected formation energy: -2.430 eV/atom
electronic total energy: -146.161 eV per cell

```
K2LiNp3O12
1.0
3.9632 2.2881 5.8261
-3.9632 2.2881 5.8261
0.0000 -4.5763 5.8261
K Li Np O
2 1 3 12
Direct
0.1257 0.1257 0.1257
0.8743 0.8743 0.8743
0.5000 0.5000 0.5000
0.0000 0.5000 0.5000
0.5000 0.0000 0.5000
0.5000 0.5000 0.0000
0.1728 0.5662 0.5662
0.1790 0.1790 0.5687
0.1790 0.5687 0.1790
0.4313 0.8210 0.8210
0.4338 0.4338 0.8272
0.4338 0.8272 0.4338
0.5662 0.1728 0.5662
0.5662 0.5662 0.1728
0.5687 0.1790 0.1790
0.8210 0.4313 0.8210
0.8210 0.8210 0.4313
0.8272 0.4338 0.4338
```


No. 6
# K3Li2NpO6

A relaxed K3Li2NpO6 crystal (PBE-GGA, Alexandria via LeMat-Bulk).

Calculated values
crystal system: monoclinic
uncorrected formation energy: -2.100 eV/atom
electronic total energy: -75.004 eV per cell

```
K3Li2NpO6
1.0
2.8188 -5.2227 0.0000
2.8188 5.2227 0.0000
-1.5165 0.0000 6.0352
K Li Np O
3 2 1 6
Direct
0.0000 0.0000 0.0000
0.3144 0.6856 0.0000
0.6856 0.3144 0.0000
0.2019 0.7981 0.5000
0.7981 0.2019 0.5000
0.5000 0.5000 0.5000
0.1321 0.4233 0.3299
0.3123 0.3123 0.7286
0.4233 0.1321 0.3299
0.5767 0.8679 0.6701
0.6877 0.6877 0.2714
0.8679 0.5767 0.6701
```


No. 7
# KLi2Np2O7

A relaxed KLi2Np2O7 crystal (PBE-GGA, Alexandria via LeMat-Bulk).

Calculated values
crystal system: tetragonal
uncorrected formation energy: -2.594 eV/atom
electronic total energy: -96.637 eV per cell

```
KLi2Np2O7
1.0
-2.1317 2.1317 9.0779
2.1317 -2.1317 9.0779
2.1317 2.1317 -9.0779
K Li Np O
1 2 2 7
Direct
0.0000 0.0000 0.0000
0.2500 0.7500 0.5000
0.7500 0.2500 0.5000
0.3822 0.3822 0.0000
0.6178 0.6178 0.0000
0.1180 0.6180 0.5000
0.2733 0.2733 0.0000
0.3820 0.8820 0.5000
0.5000 0.5000 0.0000
0.6180 0.1180 0.5000
0.7267 0.7267 0.0000
0.8820 0.3820 0.5000
```


No. 8
# K2LiNp2O7

A relaxed K2LiNp2O7 crystal (PBE-GGA, Alexandria via LeMat-Bulk).

Calculated values
crystal system: tetragonal
uncorrected formation energy: -2.484 eV/atom
electronic total energy: -94.503 eV per cell

```
K2LiNp2O7
1.0
-2.1370 2.1370 10.9601
2.1370 -2.1370 10.9601
2.1370 2.1370 -10.9601
K Li Np O
2 1 2 7
Direct
0.1904 0.1904 0.0000
0.8096 0.8096 0.0000
0.0000 0.0000 0.0000
0.4047 0.4047 0.0000
0.5953 0.5953 0.0000
0.0918 0.5918 0.5000
0.3150 0.3150 0.0000
0.4082 0.9082 0.5000
0.5000 0.5000 0.0000
0.5918 0.0918 0.5000
0.6850 0.6850 0.0000
0.9082 0.4082 0.5000
```


No. 9
# KLi3Np2S6

A relaxed KLi3Np2S6 crystal (PBE-GGA, Alexandria via LeMat-Bulk).

Calculated values
crystal system: monoclinic
uncorrected formation energy: -1.294 eV/atom
electronic total energy: -73.013 eV per cell

```
KLi3Np2S6
1.0
7.9268 -1.9930 0.0000
7.9268 1.9930 0.0000
-1.5185 0.0000 9.0578
K Li Np S
1 3 2 6
Direct
0.0000 0.0000 0.0000
0.0000 0.0000 0.5000
0.3484 0.3484 0.2780
0.6516 0.6516 0.7220
0.3342 0.3342 0.6607
0.6658 0.6658 0.3393
0.1633 0.1633 0.5482
0.1947 0.1947 0.1648
0.4972 0.4972 0.7169
0.5028 0.5028 0.2831
0.8053 0.8053 0.8352
0.8367 0.8367 0.4518
```


No. 10
# KLiNp2S4

A relaxed KLiNp2S4 crystal (PBE-GGA, Alexandria via LeMat-Bulk).

Calculated values
crystal system: orthorhombic
uncorrected formation energy: -1.398 eV/atom
electronic total energy: -113.168 eV per cell

```
KLiNp2S4
1.0
2.0272 -6.7023 0.0000
2.0272 6.7023 0.0000
0.0000 0.0000 13.9214
K Li Np S
2 2 4 8
Direct
0.1075 0.8925 0.7500
0.8925 0.1075 0.2500
0.1658 0.8342 0.2500
0.8342 0.1658 0.7500
0.3687 0.6313 0.5587
0.3687 0.6313 0.9413
0.6313 0.3687 0.0587
0.6313 0.3687 0.4413
0.0000 0.0000 0.0000
0.0000 0.0000 0.5000
0.2608 0.7392 0.1069
0.2608 0.7392 0.3931
0.4246 0.5754 0.7500
0.5754 0.4246 0.2500
0.7392 0.2608 0.6069
0.7392 0.2608 0.8931
```


No. 11
# K2LiNp2S6

A relaxed K2LiNp2S6 crystal (PBE-GGA, Alexandria via LeMat-Bulk).

Calculated values
crystal system: monoclinic
uncorrected formation energy: -1.304 eV/atom
electronic total energy: -69.094 eV per cell

```
K2LiNp2S6
1.0
3.4035 -5.9878 0.0000
3.4035 5.9878 0.0000
-2.1125 0.0000 7.4474
K Li Np S
2 1 2 6
Direct
0.1588 0.8412 0.0000
0.8412 0.1588 0.0000
0.0000 0.0000 0.5000
0.3349 0.6651 0.5000
0.6651 0.3349 0.5000
0.0561 0.4120 0.6920
0.2853 0.2853 0.3112
0.4120 0.0561 0.6920
0.5880 0.9439 0.3080
0.7147 0.7147 0.6888
0.9439 0.5880 0.3080
```


No. 12
# KLi2NpS4

A relaxed KLi2NpS4 crystal (PBE-GGA, Alexandria via LeMat-Bulk).

Calculated values
crystal system: tetragonal
uncorrected formation energy: -1.123 eV/atom
electronic total energy: -43.358 eV per cell

```
KLi2NpS4
1.0
-2.6948 2.6948 6.7321
2.6948 -2.6948 6.7321
2.6948 2.6948 -6.7321
K Li Np S
1 2 1 4
Direct
0.0000 0.0000 0.0000
0.5000 0.5000 0.0000
0.7500 0.2500 0.5000
0.2500 0.7500 0.5000
0.0643 0.5643 0.5000
0.2513 0.2513 0.0000
0.4357 0.9357 0.5000
0.7487 0.7487 0.0000
```